Entry 1:
# RbBaTa

A relaxed RbBaTa crystal (GGA-PBE, Alexandria).

Total magnetization: 0.00 μB per cell
ΔE to the lowest computed polymorph: 400 meV per atom
ΔE_f: 0.905 eV/atom
Uncorrected energy: -4.009 eV per atom

Structure (CIF):
```
data_RbBaTa
_chemical_formula_sum 'Rb4 Ba4 Ta4'
_space_group_name_H-M_alt 'P 1'
_space_group_IT_number 1
_cell_length_a 4.699
_cell_length_b 7.222
_cell_length_c 18.075
_cell_angle_alpha 90.00
_cell_angle_beta 90.00
_cell_angle_gamma 90.00
loop_
_space_group_symop_operation_xyz
'x,y,z'
loop_
_atom_site_label
_atom_site_type_symbol
_atom_site_fract_x
_atom_site_fract_y
_atom_site_fract_z
_atom_site_occupancy
Ba1 Ba 0.650 0.750 0.915 1
Ba2 Ba 0.350 0.250 0.085 1
Ba3 Ba 0.850 0.250 0.415 1
Ba4 Ba 0.150 0.750 0.585 1
Ta1 Ta 0.845 0.250 0.227 1
Ta2 Ta 0.155 0.750 0.773 1
Ta3 Ta 0.345 0.250 0.273 1
Ta4 Ta 0.655 0.750 0.727 1
Rb1 Rb 0.576 0.250 0.662 1
Rb2 Rb 0.424 0.750 0.338 1
Rb3 Rb 0.076 0.250 0.838 1
Rb4 Rb 0.924 0.750 0.162 1
```

=====

Entry 2:
# RbBaTa

A relaxed RbBaTa crystal (GGA-PBE, Alexandria).

Total magnetization: 0.00 μB per cell
ΔE to the lowest computed polymorph: 0 meV per atom
ΔE_f: 0.506 eV/atom
Uncorrected energy: -4.408 eV per atom

Structure (CIF):
```
data_RbBaTa
_chemical_formula_sum 'Rb2 Ba2 Ta2'
_space_group_name_H-M_alt 'P 1'
_space_group_IT_number 1
_cell_length_a 3.813
_cell_length_b 3.813
_cell_length_c 18.260
_cell_angle_alpha 90.00
_cell_angle_beta 90.00
_cell_angle_gamma 90.00
loop_
_space_group_symop_operation_xyz
'x,y,z'
loop_
_atom_site_label
_atom_site_type_symbol
_atom_site_fract_x
_atom_site_fract_y
_atom_site_fract_z
_atom_site_occupancy
Ba1 Ba 0.000 0.500 0.659 1
Ba2 Ba 0.500 0.000 0.341 1
Rb1 Rb 0.500 0.000 0.883 1
Rb2 Rb 0.000 0.500 0.117 1
Ta1 Ta 0.500 0.000 0.526 1
Ta2 Ta 0.000 0.500 0.474 1
```

=====

Entry 3:
# RbBaTa

A relaxed RbBaTa crystal (GGA-PBE, Alexandria).

Total magnetization: 0.00 μB per cell
ΔE to the lowest computed polymorph: 79 meV per atom
ΔE_f: 0.585 eV/atom
Uncorrected energy: -4.329 eV per atom

Structure (CIF):
```
data_RbBaTa
_chemical_formula_sum 'Rb2 Ba2 Ta2'
_space_group_name_H-M_alt 'P 1'
_space_group_IT_number 1
_cell_length_a 4.664
_cell_length_b 4.664
_cell_length_c 17.377
_cell_angle_alpha 90.23
_cell_angle_beta 90.15
_cell_angle_gamma 60.03
loop_
_space_group_symop_operation_xyz
'x,y,z'
loop_
_atom_site_label
_atom_site_type_symbol
_atom_site_fract_x
_atom_site_fract_y
_atom_site_fract_z
_atom_site_occupancy
Ta1 Ta 0.142 0.401 0.522 1
Ta2 Ta 0.475 0.735 0.522 1
Rb1 Rb 0.126 0.386 0.141 1
Rb2 Rb 0.455 0.725 0.903 1
Ba1 Ba 0.809 0.070 0.655 1
Ba2 Ba 0.808 0.066 0.389 1
```

=====

Entry 4:
# RbBaTa

A relaxed RbBaTa crystal (GGA-PBE, Alexandria).

Total magnetization: 8.89 μB per cell
ΔE to the lowest computed polymorph: 1076 meV per atom
ΔE_f: 1.582 eV/atom
Uncorrected energy: -3.332 eV per atom

Structure (CIF):
```
data_RbBaTa
_chemical_formula_sum 'Rb2 Ba2 Ta2'
_space_group_name_H-M_alt 'P 1'
_space_group_IT_number 1
_cell_length_a 6.343
_cell_length_b 6.343
_cell_length_c 7.453
_cell_angle_alpha 90.00
_cell_angle_beta 90.00
_cell_angle_gamma 120.00
loop_
_space_group_symop_operation_xyz
'x,y,z'
loop_
_atom_site_label
_atom_site_type_symbol
_atom_site_fract_x
_atom_site_fract_y
_atom_site_fract_z
_atom_site_occupancy
Rb1 Rb 0.000 0.000 0.500 1
Rb2 Rb 0.000 0.000 0.000 1
Ta1 Ta 0.333 0.667 0.250 1
Ta2 Ta 0.667 0.333 0.750 1
Ba1 Ba 0.333 0.667 0.750 1
Ba2 Ba 0.667 0.333 0.250 1
```

=====

Entry 5:
# RbBaTa

A relaxed RbBaTa crystal (GGA-PBE, Alexandria).

Total magnetization: 0.00 μB per cell
ΔE to the lowest computed polymorph: 1062 meV per atom
ΔE_f: 1.568 eV/atom
Uncorrected energy: -3.347 eV per atom

Structure (CIF):
```
data_RbBaTa
_chemical_formula_sum 'Rb1 Ba1 Ta1'
_space_group_name_H-M_alt 'P 1'
_space_group_IT_number 1
_cell_length_a 6.220
_cell_length_b 6.220
_cell_length_c 3.130
_cell_angle_alpha 90.00
_cell_angle_beta 90.00
_cell_angle_gamma 120.00
loop_
_space_group_symop_operation_xyz
'x,y,z'
loop_
_atom_site_label
_atom_site_type_symbol
_atom_site_fract_x
_atom_site_fract_y
_atom_site_fract_z
_atom_site_occupancy
Ta1 Ta 0.333 0.667 0.000 1
Ba1 Ba 0.000 0.000 0.000 1
Rb1 Rb 0.667 0.333 0.500 1
```

=====

Entry 6:
# RbBaTa

A relaxed RbBaTa crystal (GGA-PBE, Alexandria).

Total magnetization: 0.00 μB per cell
ΔE to the lowest computed polymorph: 377 meV per atom
ΔE_f: 0.883 eV/atom
Uncorrected energy: -4.032 eV per atom

Structure (CIF):
```
data_RbBaTa
_chemical_formula_sum 'Rb2 Ba2 Ta2'
_space_group_name_H-M_alt 'P 1'
_space_group_IT_number 1
_cell_length_a 7.032
_cell_length_b 3.659
_cell_length_c 10.963
_cell_angle_alpha 90.49
_cell_angle_beta 102.95
_cell_angle_gamma 75.00
loop_
_space_group_symop_operation_xyz
'x,y,z'
loop_
_atom_site_label
_atom_site_type_symbol
_atom_site_fract_x
_atom_site_fract_y
_atom_site_fract_z
_atom_site_occupancy
Ba1 Ba 0.911 0.658 0.527 1
Ba2 Ba 0.461 0.887 0.705 1
Rb1 Rb 0.058 0.570 0.971 1
Rb2 Rb 0.619 0.790 0.173 1
Ta1 Ta 0.401 0.409 0.437 1
Ta2 Ta 0.159 0.027 0.320 1
```

=====

Entry 7:
# RbBa2Ta

A relaxed RbBa2Ta crystal (GGA-PBE, Alexandria).

Total magnetization: 7.23 μB per cell
ΔE to the lowest computed polymorph: 162 meV per atom
ΔE_f: 1.278 eV/atom
Uncorrected energy: -2.888 eV per atom

Structure (CIF):
```
data_RbBa2Ta
_chemical_formula_sum 'Rb2 Ba4 Ta2'
_space_group_name_H-M_alt 'P 1'
_space_group_IT_number 1
_cell_length_a 10.075
_cell_length_b 10.075
_cell_length_c 8.190
_cell_angle_alpha 52.04
_cell_angle_beta 52.04
_cell_angle_gamma 90.00
loop_
_space_group_symop_operation_xyz
'x,y,z'
loop_
_atom_site_label
_atom_site_type_symbol
_atom_site_fract_x
_atom_site_fract_y
_atom_site_fract_z
_atom_site_occupancy
Ba1 Ba 0.875 0.937 0.750 1
Ba2 Ba 0.063 0.625 0.250 1
Ba3 Ba 0.375 0.313 0.750 1
Ba4 Ba 0.687 0.125 0.250 1
Ta1 Ta 0.750 0.250 0.500 1
Ta2 Ta 0.000 0.000 0.000 1
Rb1 Rb 0.500 0.500 0.000 1
Rb2 Rb 0.250 0.750 0.500 1
```

=====

Entry 8:
# RbBaTa

A relaxed RbBaTa crystal (GGA-PBE, Alexandria).

Total magnetization: 0.00 μB per cell
ΔE to the lowest computed polymorph: 355 meV per atom
ΔE_f: 0.861 eV/atom
Uncorrected energy: -4.053 eV per atom

Structure (CIF):
```
data_RbBaTa
_chemical_formula_sum 'Rb2 Ba2 Ta2'
_space_group_name_H-M_alt 'P 1'
_space_group_IT_number 1
_cell_length_a 8.564
_cell_length_b 4.429
_cell_length_c 9.973
_cell_angle_alpha 78.42
_cell_angle_beta 94.20
_cell_angle_gamma 58.93
loop_
_space_group_symop_operation_xyz
'x,y,z'
loop_
_atom_site_label
_atom_site_type_symbol
_atom_site_fract_x
_atom_site_fract_y
_atom_site_fract_z
_atom_site_occupancy
Ta1 Ta 0.290 0.116 0.098 1
Ta2 Ta 0.452 0.435 0.141 1
Ba1 Ba 0.700 0.766 0.969 1
Ba2 Ba 0.165 0.866 0.818 1
Rb1 Rb 0.040 0.759 0.331 1
Rb2 Rb 0.578 0.656 0.484 1
```

=====

Entry 9:
# RbBaTa

A relaxed RbBaTa crystal (GGA-PBE, Alexandria).

Total magnetization: 0.00 μB per cell
ΔE to the lowest computed polymorph: 364 meV per atom
ΔE_f: 0.870 eV/atom
Uncorrected energy: -4.044 eV per atom

Structure (CIF):
```
data_RbBaTa
_chemical_formula_sum 'Rb2 Ba2 Ta2'
_space_group_name_H-M_alt 'P 1'
_space_group_IT_number 1
_cell_length_a 13.865
_cell_length_b 10.441
_cell_length_c 10.441
_cell_angle_alpha 157.72
_cell_angle_beta 149.05
_cell_angle_gamma 30.95
loop_
_space_group_symop_operation_xyz
'x,y,z'
loop_
_atom_site_label
_atom_site_type_symbol
_atom_site_fract_x
_atom_site_fract_y
_atom_site_fract_z
_atom_site_occupancy
Rb1 Rb 0.405 0.806 0.194 1
Rb2 Rb 0.945 0.955 0.045 1
Ta1 Ta 0.832 0.687 0.313 1
Ta2 Ta 0.604 0.337 0.663 1
Ba1 Ba 0.534 0.009 0.991 1
Ba2 Ba 0.073 0.156 0.844 1
```

=====

Entry 10:
# RbBaTa

A relaxed RbBaTa crystal (GGA-PBE, Alexandria).

Total magnetization: 0.00 μB per cell
ΔE to the lowest computed polymorph: 388 meV per atom
ΔE_f: 0.893 eV/atom
Uncorrected energy: -4.021 eV per atom

Structure (CIF):
```
data_RbBaTa
_chemical_formula_sum 'Rb2 Ba2 Ta2'
_space_group_name_H-M_alt 'P 1'
_space_group_IT_number 1
_cell_length_a 6.457
_cell_length_b 3.640
_cell_length_c 11.875
_cell_angle_alpha 91.19
_cell_angle_beta 105.76
_cell_angle_gamma 89.99
loop_
_space_group_symop_operation_xyz
'x,y,z'
loop_
_atom_site_label
_atom_site_type_symbol
_atom_site_fract_x
_atom_site_fract_y
_atom_site_fract_z
_atom_site_occupancy
Ba1 Ba 0.451 0.162 0.720 1
Ba2 Ba 0.842 0.147 0.502 1
Rb1 Rb 0.070 0.682 0.960 1
Rb2 Rb 0.678 0.612 0.176 1
Ta1 Ta 0.324 0.645 0.466 1
Ta2 Ta 0.244 0.135 0.307 1
```

=====

Entry 11:
# Rb2BaTaTe

A relaxed Rb2BaTaTe crystal (GGA-PBE, Alexandria).

Total magnetization: 3.73 μB per cell
Uncorrected energy: -2.512 eV per atom

Structure (CIF):
```
data_Rb2BaTaTe
_chemical_formula_sum 'Rb2 Ba1 Ta1 Te1'
_space_group_name_H-M_alt 'P 1'
_space_group_IT_number 1
_cell_length_a 7.913
_cell_length_b 6.281
_cell_length_c 7.913
_cell_angle_alpha 90.00
_cell_angle_beta 90.00
_cell_angle_gamma 90.00
loop_
_space_group_symop_operation_xyz
'x,y,z'
loop_
_atom_site_label
_atom_site_type_symbol
_atom_site_fract_x
_atom_site_fract_y
_atom_site_fract_z
_atom_site_occupancy
Te1 Te 0.000 0.500 0.000 1
Ba1 Ba 0.000 0.000 0.000 1
Rb1 Rb 0.500 0.000 0.000 1
Rb2 Rb 0.000 0.000 0.500 1
Ta1 Ta 0.500 0.500 0.500 1
```

=====

Entry 12:
# RbBaZrTa2

A relaxed RbBaZrTa2 crystal (GGA-PBE, Alexandria).

Total magnetization: 0.63 μB per cell
ΔE_f: 2.674 eV/atom
Uncorrected energy: -4.354 eV per atom

Structure (CIF):
```
data_RbBaZrTa2
_chemical_formula_sum 'Rb1 Ba1 Zr1 Ta2'
_space_group_name_H-M_alt 'P 1'
_space_group_IT_number 1
_cell_length_a 5.097
_cell_length_b 5.562
_cell_length_c 5.097
_cell_angle_alpha 90.00
_cell_angle_beta 90.00
_cell_angle_gamma 90.00
loop_
_space_group_symop_operation_xyz
'x,y,z'
loop_
_atom_site_label
_atom_site_type_symbol
_atom_site_fract_x
_atom_site_fract_y
_atom_site_fract_z
_atom_site_occupancy
Ta1 Ta 0.000 0.000 0.500 1
Ta2 Ta 0.500 0.000 0.000 1
Zr1 Zr 0.500 0.500 0.500 1
Rb1 Rb 0.000 0.000 0.000 1
Ba1 Ba 0.000 0.500 0.000 1
```